Entry 1:
Computed, not measured: a relaxed Nd8Ho6In crystal at the PBE-GGA level of DFT.

Summary:
ΔH_f (0 K) = 0.08 eV/atom
D(E_F) = 21.5 states/eV/cell
Calculated volume = 496 Å³ per cell

Cell: 6.5855 9.3275 9.3275 Å, 120.00 90.00 90.00°
With the nearest neighbours (Å) after each atom.
Sites, in units of the cell vectors:
Nd1 0.8222 0.0418 0.2741  1 In 3.19, 3 Nd 3.30-3.34, 2 Ho 3.32-3.49
Nd2 0.8222 0.7259 0.7677  1 In 3.19, 3 Nd 3.30-3.34, 2 Ho 3.32-3.49
Nd3 0.8222 0.2323 0.9582  1 In 3.19, 3 Nd 3.30-3.34, 2 Ho 3.32-3.49
Nd4 0.1778 0.9582 0.7259  1 In 3.19, 3 Nd 3.30-3.34, 2 Ho 3.32-3.49
Nd5 0.1778 0.2741 0.2323  1 In 3.19, 3 Nd 3.30-3.34, 2 Ho 3.32-3.49
Nd6 0.1778 0.7677 0.0418  1 In 3.19, 3 Nd 3.30-3.34, 2 Ho 3.32-3.49
Nd7 0.8605 0.3333 0.6667  3 Nd 3.30
Nd8 0.1395 0.6667 0.3333  3 Nd 3.30
Ho1 0.6619 0.6522 0.0980  1 Ho 3.28, 4 Nd 3.32-3.63
Ho2 0.6619 0.9020 0.5542  1 Ho 3.28, 4 Nd 3.32-3.63
Ho3 0.6619 0.4458 0.3478  1 Ho 3.28, 4 Nd 3.32-3.63
Ho4 0.3381 0.3478 0.9020  1 Ho 3.28, 4 Nd 3.32-3.63
Ho5 0.3381 0.0980 0.4458  1 Ho 3.28, 4 Nd 3.32-3.63
Ho6 0.3381 0.5542 0.6522  1 Ho 3.28, 4 Nd 3.32-3.63
In1 0.5000 0.0000 0.0000  6 Nd 3.19

=====

Entry 2:
Computed, not measured: a relaxed AlCdBi2O6 crystal at the PBE-GGA level of DFT.

Summary:
Formation energy from raw total energies = -15.03 eV per formula unit
D(E_F) = 2.7 states/eV/cell
Calculated volume = 137 Å³ per cell

Cell: 5.6468 5.6470 5.9260 Å, 61.54 61.54 60.00°
With the nearest neighbours (Å) after each atom.
Sites, in units of the cell vectors:
Al1 0.3183 0.3183 0.0450  6 O 1.92-2.01
Cd1 0.8016 0.8017 0.5950  5 O 2.23-2.50
Bi1 0.5319 0.5319 0.4044  6 O 2.37-2.44
Bi2 0.0190 0.0190 0.9430  6 O 2.28-2.31
O1 0.5788 0.1873 0.2356  1 Al 1.92
O2 0.1873 0.9983 0.2356  1 Al 1.92
O3 0.9983 0.5788 0.2356  1 Al 1.92
O4 0.4215 0.6682 0.7736  1 Al 2.01, 1 Cd 2.23
O5 0.6682 0.1366 0.7737  1 Al 2.01, 1 Cd 2.23
O6 0.1366 0.4215 0.7737  1 Al 2.01, 1 Cd 2.23

=====

Entry 3:
Computed, not measured: a relaxed LiTcBr2 crystal at the PBE-GGA level of DFT.

Summary:
Formation energy from raw total energies = 0.15 eV per formula unit
Energy relative to the lowest polymorph listed for this composition = 142 meV per atom
D(E_F) = 2.4 states/eV/cell
Calculated volume = 98 Å³ per cell

Cell: 3.9990 6.9368 3.5244 Å, 90.00 90.00 90.00°
With the nearest neighbours (Å) after each atom.
Sites, in units of the cell vectors:
Br1 0.0000 0.0000 0.0000  4 Li 2.67
Br2 0.5000 0.5000 0.0000  4 Tc 2.67
Li1 0.5000 0.0000 0.5000  4 Br 2.67
Tc1 0.0000 0.5000 0.5000  4 Br 2.67

=====

Entry 4:
Computed, not measured: a relaxed AlTc2 crystal at the PBE-GGA level of DFT.

Summary:
ΔH_f (0 K) = 0.72 eV/atom
Energy relative to the lowest polymorph listed for this composition = 1131 meV per atom
D(E_F) = 3.8 states/eV/cell
Calculated volume = 50 Å³ per cell

Cell: 4.4036 4.4036 2.5949 Å, 90.00 90.00 90.00°
With the nearest neighbours (Å) after each atom.
Sites, in units of the cell vectors:
Tc1 0.0000 0.5000 0.5000  4 Al 2.56, 2 Tc 2.59
Tc2 0.5000 0.0000 0.5000  4 Al 2.56, 2 Tc 2.59
Al1 0.0000 0.0000 0.0000  8 Tc 2.56, 2 Al 2.59

=====

Entry 5:
Computed, not measured: a relaxed PmZrH crystal at the PBE-GGA level of DFT.

Summary:
Energy relative to the lowest polymorph listed for this composition = 0 meV per atom
D(E_F) = 9.8 states/eV/cell
Calculated volume = 245 Å³ per cell

Cell: 3.8299 3.8627 25.4670 Å, 40.53 90.00 90.00°
With the nearest neighbours (Å) after each atom.
Sites, in units of the cell vectors:
H1 0.2503 0.7526 0.4995  4 Pm 2.32
H2 0.2497 0.2526 0.9995  4 Pm 2.32
H3 0.7497 0.2474 0.5005  4 Pm 2.32
H4 0.7503 0.7474 0.0005  4 Pm 2.32
Zr1 0.2476 0.6651 0.2169  4 Zr 2.93
Zr2 0.2524 0.1651 0.7169  4 Zr 2.93
Zr3 0.7524 0.3349 0.7831  4 Zr 2.93
Zr4 0.7476 0.8349 0.2831  4 Zr 2.93
Pm1 0.7496 0.8577 0.0783  4 H 2.32
Pm2 0.7504 0.3577 0.5783  4 H 2.32
Pm3 0.2504 0.1423 0.9217  4 H 2.32
Pm4 0.2496 0.6423 0.4217  4 H 2.32

=====

Entry 6:
Computed, not measured: a relaxed TlRhW2 crystal at the PBE-GGA level of DFT.

Summary:
ΔH_f (0 K) = 0.56 eV/atom
Energy relative to the lowest polymorph listed for this composition = 203 meV per atom
D(E_F) = 3.0 states/eV/cell
Calculated volume = 68 Å³ per cell

Cell: 3.4028 4.2797 4.6620 Å, 90.00 90.00 90.00°
With the nearest neighbours (Å) after each atom.
Sites, in units of the cell vectors:
Tl1 0.0000 0.5000 0.5000  4 Rh 2.73, 4 W 2.89
Rh1 0.5000 0.0000 0.5000  4 Tl 2.73, 4 W 2.89
W1 0.0000 0.0000 0.0000  4 W 2.73, 4 Rh 2.89
W2 0.5000 0.5000 0.0000  4 W 2.73, 4 Tl 2.89

=====

Entry 7:
Computed, not measured: a relaxed Sc4InCu crystal at the PBE-GGA level of DFT.

Summary:
ΔH_f (0 K) = 0.30 eV/atom
Energy relative to the lowest polymorph listed for this composition = 294 meV per atom
D(E_F) = 5.9 states/eV/cell
Calculated volume = 136 Å³ per cell

Cell: 5.7703 5.7703 5.7703 Å, 60.00 60.00 60.00°
With the nearest neighbours (Å) after each atom.
Sites, in units of the cell vectors:
Sc1 0.8764 0.3745 0.3745  6 Sc 2.87-2.90
Sc2 0.3745 0.3745 0.8764  6 Sc 2.87-2.90
Sc3 0.3745 0.8764 0.3745  6 Sc 2.87-2.90
Sc4 0.3745 0.3745 0.3745  6 Sc 2.87-2.90
In1 0.0000 0.0000 0.0000  12 Sc 3.38, 4 Cu 3.53
Cu1 0.7500 0.7500 0.7500  12 Sc 3.38, 4 In 3.53

=====

Entry 8:
Computed, not measured: a relaxed ScTl2Te4Pb crystal at the PBE-GGA level of DFT.

Summary:
Formation energy from raw total energies = -4.74 eV per formula unit
D(E_F) = 4.5 states/eV/cell
Calculated volume = 269 Å³ per cell

Cell: 4.4091 8.1201 7.9098 Å, 71.62 90.00 90.00°
With the nearest neighbours (Å) after each atom.
Sites, in units of the cell vectors:
Sc1 0.0000 0.5000 0.5000  6 Te 2.96-2.98
Tl1 0.0000 0.0000 0.0000  6 Te 3.47-3.54
Tl2 0.5000 0.0000 0.5000  6 Te 3.25-3.31
Te1 0.0000 0.7257 0.7302  1 Sc 2.96, 2 Pb 3.21, 2 Tl 3.25
Te2 0.0000 0.2743 0.2698  1 Sc 2.96, 2 Pb 3.21, 2 Tl 3.25
Te3 0.5000 0.7115 0.2839  2 Sc 2.98, 1 Pb 3.23, 1 Tl 3.31
Te4 0.5000 0.2885 0.7161  2 Sc 2.98, 1 Pb 3.23, 1 Tl 3.31
Pb1 0.5000 0.5000 0.0000  6 Te 3.21-3.23

=====

Entry 9:
Computed, not measured: a relaxed Er6Tl2In3 crystal at the PBE-GGA level of DFT.

Summary:
ΔH_f (0 K) = 0.09 eV/atom
D(E_F) = 11.5 states/eV/cell
Calculated volume = 354 Å³ per cell

Cell: 5.7724 5.7724 11.3730 Å, 104.70 104.70 90.00°
With the nearest neighbours (Å) after each atom.
Sites, in units of the cell vectors:
Er1 0.0866 0.5866 0.1732  2 Tl 2.92, 2 In 3.22
Er2 0.5866 0.0866 0.1732  2 Tl 2.92, 2 In 3.22
Er3 0.9134 0.4134 0.8268  2 Tl 2.92, 2 In 3.22
Er4 0.4134 0.9134 0.8268  2 Tl 2.92, 2 In 3.22
Er5 0.7043 0.7043 0.4085  1 Tl 2.91, 1 In 3.01
Er6 0.2957 0.2957 0.5915  1 Tl 2.91, 1 In 3.01
Tl1 0.4329 0.4329 0.8658  1 Tl 2.85, 5 Er 2.91-2.92
Tl2 0.5671 0.5671 0.1342  1 Tl 2.85, 5 Er 2.91-2.92
In1 0.0000 0.0000 0.0000  2 In 3.27, 8 Er 3.42
In2 0.8460 0.8460 0.6919  5 Er 3.01-3.22, 1 In 3.27
In3 0.1540 0.1540 0.3081  5 Er 3.01-3.22, 1 In 3.27

=====

Entry 10:
Computed, not measured: a relaxed TbNd6Tl crystal at the PBE-GGA level of DFT.

Summary:
ΔH_f (0 K) = -0.09 eV/atom
D(E_F) = 8.9 states/eV/cell
Calculated volume = 263 Å³ per cell

Cell: 5.0335 5.0335 10.3841 Å, 90.00 90.00 90.00°
With the nearest neighbours (Å) after each atom.
Sites, in units of the cell vectors:
Tb1 0.0000 0.0000 0.5000  12 Nd 3.56-3.66
Nd1 0.5000 0.5000 0.0000  4 Tl 3.56, 8 Nd 3.57
Nd2 0.5000 0.5000 0.5000  4 Tb 3.56, 8 Nd 3.66
Nd3 0.5000 0.0000 0.2442  8 Nd 3.56-3.66, 2 Tl 3.57, 2 Tb 3.66
Nd4 0.5000 0.0000 0.7558  8 Nd 3.56-3.66, 2 Tl 3.57, 2 Tb 3.66
Nd5 0.0000 0.5000 0.2442  8 Nd 3.56-3.66, 2 Tl 3.57, 2 Tb 3.66
Nd6 0.0000 0.5000 0.7558  8 Nd 3.56-3.66, 2 Tl 3.57, 2 Tb 3.66
Tl1 0.0000 0.0000 0.0000  12 Nd 3.56-3.57

=====

Entry 11:
Computed, not measured: a relaxed ScBiIN2 crystal at the PBE-GGA level of DFT.

Summary:
Formation energy from raw total energies = 3.51 eV per formula unit
Energy relative to the lowest polymorph listed for this composition = 0 meV per atom
D(E_F) = 3.7 states/eV/cell
Calculated volume = 107 Å³ per cell

Cell: 4.3610 4.3610 5.6444 Å, 90.00 90.00 90.00°
With the nearest neighbours (Å) after each atom.
Sites, in units of the cell vectors:
I1 0.0000 0.0000 0.5000  2 Sc 2.82, 4 Bi 3.08
Sc1 0.0000 0.0000 0.0000  4 N 2.18
Bi1 0.5000 0.5000 0.5000  4 I 3.08
N1 0.0000 0.5000 0.0000  2 Sc 2.18
N2 0.5000 0.0000 0.0000  2 Sc 2.18

=====

Entry 12:
Computed, not measured: a relaxed GdHfAg2 crystal at the PBE-GGA level of DFT.

Summary:
ΔH_f (0 K) = -0.02 eV/atom
Energy relative to the lowest polymorph listed for this composition = 54 meV per atom
D(E_F) = 4.1 states/eV/cell
Calculated volume = 89 Å³ per cell

Cell: 5.0069 5.0069 5.0069 Å, 60.00 60.00 60.00°
With the nearest neighbours (Å) after each atom.
Sites, in units of the cell vectors:
Gd1 0.0000 0.0000 0.0000  8 Ag 3.07
Hf1 0.5000 0.5000 0.5000  8 Ag 3.07
Ag1 0.2500 0.2500 0.2500  4 Gd 3.07, 4 Hf 3.07
Ag2 0.7500 0.7500 0.7500  4 Gd 3.07, 4 Hf 3.07

=====

Entry 13:
Computed, not measured: a relaxed Pr3TmPt2 crystal at the PBE-GGA level of DFT.

Summary:
ΔH_f (0 K) = -0.74 eV/atom
D(E_F) = 5.5 states/eV/cell
Calculated volume = 167 Å³ per cell

Cell: 4.6902 4.7788 8.1811 Å, 107.04 106.65 90.00°
With the nearest neighbours (Å) after each atom.
Sites, in units of the cell vectors:
Pr1 0.5000 0.5000 0.0000  4 Pt 3.02, 4 Tm 3.35
Pr2 0.8134 0.3135 0.6269  1 Pt 2.82
Pr3 0.1866 0.6865 0.3731  1 Pt 2.82
Tm1 0.0000 0.0000 0.0000  4 Pt 2.99
Pt1 0.3759 0.8756 0.7516  3 Pr 2.82-3.02, 2 Tm 2.99
Pt2 0.6241 0.1244 0.2484  3 Pr 2.82-3.02, 2 Tm 2.99